[1]
# Al2In2I, optimized geometry, DFT GGA-PBE
data_Al2In2I
_cell_length_a 8.550
_cell_length_b 8.550
_cell_length_c 3.594
_cell_angle_alpha 90.00
_cell_angle_beta 90.00
_cell_angle_gamma 90.00
_symmetry_space_group_name_H-M 'P 4/m b m'
_symmetry_Int_Tables_number 127
_symmetry_space_group_name_Hall '-P 4 2ab'
loop_
_atom_site_label
_atom_site_fract_x
_atom_site_fract_y
_atom_site_fract_z
Al1 0.113 0.387 0.000
In1 0.187 0.687 0.500
I1 0.000 0.000 0.000
# crystal system: tetragonal
# energy relative to the elements, uncorrected: 0.15 eV per atom
# spin magnetization: 0.0 μB/cell
# theoretical density: 5.2 g cm⁻³
# E_tot: -2.7534 eV per atom
# energy above the lowest structure with this stoichiometry: 23 meV/atom

[2]
# InNiGe2As, optimized geometry, DFT GGA-PBE
data_InNiGe2As
_cell_length_a 4.530
_cell_length_b 4.530
_cell_length_c 5.088
_cell_angle_alpha 90.00
_cell_angle_beta 90.00
_cell_angle_gamma 90.00
_symmetry_space_group_name_H-M 'P 4/m m m'
_symmetry_Int_Tables_number 123
_symmetry_space_group_name_Hall '-P 4 2'
loop_
_atom_site_label
_atom_site_fract_x
_atom_site_fract_y
_atom_site_fract_z
In1 0.000 0.000 0.000
Ni1 0.000 0.000 0.500
Ge1 0.000 0.500 0.500
As1 0.500 0.500 0.000
# crystal system: tetragonal
# spin magnetization: 0.0 μB/cell
# ΔH_f (0 K): 0.1894 eV per atom
# theoretical density: 6.3 g cm⁻³
# E_tot: -4.2914 eV per atom

[3]
# K3Tm2ZrSe6, optimized geometry, DFT GGA-PBE
data_K3Tm2ZrSe6
_cell_length_a 7.070
_cell_length_b 12.246
_cell_length_c 8.055
_cell_angle_alpha 90.00
_cell_angle_beta 107.03
_cell_angle_gamma 90.00
_symmetry_space_group_name_H-M 'C 1 2/m 1'
_symmetry_Int_Tables_number 12
loop_
_symmetry_equiv_pos_as_xyz
'x,y,z'
'-x,-y,-z'
'-x,y,-z'
'x,-y,z'
'x+1/2,y+1/2,z'
'-x+1/2,-y+1/2,-z'
'-x+1/2,y+1/2,-z'
'x+1/2,-y+1/2,z'
loop_
_atom_site_label
_atom_site_fract_x
_atom_site_fract_y
_atom_site_fract_z
K1 0.000 0.000 0.000
K2 0.000 0.331 0.000
Tm1 0.000 0.166 0.500
Zr1 0.000 0.500 0.500
Se1 0.230 0.337 0.703
Se2 0.243 0.000 0.704
# crystal system: monoclinic
# energy relative to the elements, uncorrected: -1.59 eV per atom
# spin magnetization: 0.3 μB/cell
# theoretical density: 5.1 g cm⁻³
# E_tot: -5.0609 eV per atom

[4]
# ZrBiPb2C, optimized geometry, DFT GGA-PBE
data_ZrBiPb2C
_cell_length_a 6.046
_cell_length_b 6.046
_cell_length_c 5.562
_cell_angle_alpha 90.00
_cell_angle_beta 90.00
_cell_angle_gamma 90.00
_symmetry_space_group_name_H-M 'P 4/m m m'
_symmetry_Int_Tables_number 123
_symmetry_space_group_name_Hall '-P 4 2'
loop_
_atom_site_label
_atom_site_fract_x
_atom_site_fract_y
_atom_site_fract_z
Zr1 0.000 0.000 0.000
Bi1 0.000 0.000 0.500
Pb1 0.000 0.500 0.500
C1 0.500 0.500 0.000
# crystal system: tetragonal
# spin magnetization: 0.6 μB/cell
# ΔH_f (0 K): 2.1720 eV per atom
# theoretical density: 5.9 g cm⁻³
# E_tot: -3.6420 eV per atom

[5]
# CoPb2W, optimized geometry, DFT GGA-PBE
data_CoPb2W
_cell_length_a 3.149
_cell_length_b 4.667
_cell_length_c 11.566
_cell_angle_alpha 90.00
_cell_angle_beta 90.00
_cell_angle_gamma 90.00
_symmetry_space_group_name_H-M 'I m m 2'
_symmetry_Int_Tables_number 44
loop_
_symmetry_equiv_pos_as_xyz
'x,y,z'
'-x,-y,z'
'-x,y,z'
'x,-y,z'
'x+1/2,y+1/2,z+1/2'
'-x+1/2,-y+1/2,z+1/2'
'-x+1/2,y+1/2,z+1/2'
'x+1/2,-y+1/2,z+1/2'
loop_
_atom_site_label
_atom_site_fract_x
_atom_site_fract_y
_atom_site_fract_z
Co1 0.000 0.000 0.000
Pb1 0.000 0.000 0.522
Pb2 0.000 0.500 0.742
W1 0.000 0.500 0.348
# crystal system: orthorhombic
# spin magnetization: 0.0 μB/cell
# ΔH_f (0 K): 0.7769 eV per atom
# theoretical density: 12.8 g cm⁻³
# E_tot: -6.0920 eV per atom
# energy above the lowest structure with this stoichiometry: 362 meV/atom

[6]
# Na2BHO2, optimized geometry, DFT GGA-PBE
data_Na2BHO2
_cell_length_a 10.144
_cell_length_b 5.739
_cell_length_c 4.923
_cell_angle_alpha 90.00
_cell_angle_beta 90.00
_cell_angle_gamma 90.00
_symmetry_space_group_name_H-M 'C m c m'
_symmetry_Int_Tables_number 63
_symmetry_space_group_name_Hall '-C 2c 2'
loop_
_atom_site_label
_atom_site_fract_x
_atom_site_fract_y
_atom_site_fract_z
Na1 0.159 0.183 0.250
B1 0.000 0.319 0.750
H1 0.000 0.462 0.250
O1 0.121 0.217 0.750
# crystal system: orthorhombic
# spin magnetization: 0.0 μB/cell
# theoretical density: 2.1 g cm⁻³
# E_tot: -5.3233 eV per atom

[7]
# TaSb2TeW, optimized geometry, DFT GGA-PBE
data_TaSb2TeW
_cell_length_a 5.213
_cell_length_b 5.213
_cell_length_c 5.275
_cell_angle_alpha 90.00
_cell_angle_beta 90.00
_cell_angle_gamma 90.00
_symmetry_space_group_name_H-M 'P 4/m m m'
_symmetry_Int_Tables_number 123
_symmetry_space_group_name_Hall '-P 4 2'
loop_
_atom_site_label
_atom_site_fract_x
_atom_site_fract_y
_atom_site_fract_z
Ta1 0.000 0.000 0.000
Sb1 0.000 0.500 0.500
Te1 0.500 0.500 0.000
W1 0.500 0.500 0.500
# crystal system: tetragonal
# energy relative to the elements, uncorrected: 1.44 eV per atom
# spin magnetization: 3.7 μB/cell
# theoretical density: 8.5 g cm⁻³
# E_tot: -5.7960 eV per atom
# energy above the lowest structure with this stoichiometry: 0 meV/atom

[8]
# Co2SiBi, optimized geometry, DFT GGA-PBE
data_Co2SiBi
_cell_length_a 6.176
_cell_length_b 6.176
_cell_length_c 6.176
_cell_angle_alpha 90.00
_cell_angle_beta 90.00
_cell_angle_gamma 90.00
_symmetry_space_group_name_H-M 'F m -3 m'
_symmetry_Int_Tables_number 225
_symmetry_space_group_name_Hall '-F 4 2 3'
loop_
_atom_site_label
_atom_site_fract_x
_atom_site_fract_y
_atom_site_fract_z
Co1 0.250 0.250 0.250
Si1 0.000 0.000 0.000
Bi1 0.000 0.000 0.500
# crystal system: cubic
# energy relative to the elements, uncorrected: 0.40 eV per atom
# spin magnetization: 3.5 μB/cell
# theoretical density: 10.0 g cm⁻³
# E_tot: -5.4825 eV per atom
# energy above the lowest structure with this stoichiometry: 38 meV/atom

Q: The lowest E_tot belongs to which entry?
A: CoPb2W

Q: Which value of spin magnetization does entry 6 give?
A: 0.0 μB/cell

Q: Which of these has the lowest theoretical density?
A: Na2BHO2

Q: What is the formula in the third record?
A: K3Tm2ZrSe6